Entry from Alexandria: a relaxed LaSbP3 crystal (GGA-PBE).

## Properties
- theoretical density (kg/m3) = 3678
- VASP energy (eV/atom) = -4.108
- formation energy (no corrections) (eV/atom) = 0.95
- total magnetization (μB/atom) = 0.00
- symmetry = Pm-3m (221)

Geometry as extended XYZ:
```
5
Lattice="5.4249 0.0000 0.0000 0.0000 5.4249 0.0000 0.0000 0.0000 5.4249" Properties=species:S:1:pos:R:3 pbc="T T T"
Sb 2.7125 2.7125 2.7125
P 0.0000 2.7125 0.0000
P 0.0000 0.0000 2.7125
P 2.7125 0.0000 0.0000
La 0.0000 0.0000 0.0000
```